(1)
DFT (PBE) results for an optimized crystal structure of Na3SbH.

Unit cell a=4.782 b=4.782 c=4.782 alpha=90.00 beta=90.00 gamma=90.00
Space group Pm-3m (No. 221)
Symmetry-distinct sites (fractional):
Na (0.000, 0.000, 0.500)
Sb (0.500, 0.500, 0.500)
H (0.000, 0.000, 0.000)

## Properties
The energy above the most stable polymorph in this dataset comes out at 6 meV/atom. Its total energy is -2.5260 eV per atom. The calculation puts the total moment at 0.115 μB/atom.


(2)
DFT (PBE) results for an optimized crystal structure of TbYIr.

Unit cell a=12.396 b=4.525 c=11.063 alpha=90.00 beta=101.22 gamma=90.00
Space group C2/m (No. 12)
Symmetry-distinct sites (fractional):
Tb (0.149, 0.000, 0.470)
Tb (0.213, 0.000, 0.882)
Y (0.068, 0.500, 0.678)
Y (0.079, 0.000, 0.152)
Ir (0.087, 0.500, 0.937)
Ir (0.163, 0.500, 0.324)

## Properties
The energy above the most stable polymorph in this dataset comes out at 42 meV/atom. The energy of formation from the pure elements is -0.6346 eV/atom. Its total energy is -7.2864 eV per atom. The calculation puts the total moment at 0.000 μB/atom.


(3)
DFT (PBE) results for an optimized crystal structure of Hf2Sc2Sb2H.

Unit cell a=4.194 b=4.194 c=15.691 alpha=90.00 beta=90.00 gamma=90.00
Space group I4/mmm (No. 139)
Symmetry-distinct sites (fractional):
Hf (0.000, 0.500, 0.000)
Sc (0.000, 0.000, 0.174)
Sb (0.000, 0.000, 0.361)
H (0.000, 0.000, 0.000)

## Properties
Its total energy is -6.9645 eV per atom. The calculation puts the total moment at 0.000 μB/atom.


(4)
DFT (PBE) results for an optimized crystal structure of HfTaPCl2.

Unit cell a=4.768 b=4.768 c=5.277 alpha=90.00 beta=90.00 gamma=90.00
Space group P4/mmm (No. 123)
Symmetry-distinct sites (fractional):
Hf (0.000, 0.000, 0.000)
Ta (0.500, 0.500, 0.500)
P (0.000, 0.000, 0.500)
Cl (0.000, 0.500, 0.000)

## Properties
The energy above the most stable polymorph in this dataset comes out at 38 meV/atom. The value obtained for the energy relative to the elements, uncorrected is 0.35 eV per atom. Its total energy is -5.8313 eV per atom. The calculation puts the total moment at 0.697 μB/atom.